Record 1
{"formula": "Ti2Ni", "functional": "GGA-PBE", "state": "relaxed", "lattice_angstrom": [[4.866, -1.161, -0.007], [-1.170, 4.864, -0.007], [-1.834, -1.837, 3.980]], "species": ["Ti", "Ni", "Ti", "Ti", "Ni", "Ti"], "frac_coords": [[0.804, 0.554, 0.108], [0.124, 0.876, 0.750], [0.554, 0.804, 0.608], [0.446, 0.196, 0.392], [0.876, 0.124, 0.250], [0.196, 0.446, 0.892]], "delta_e_f_mev_per_atom": -177, "magnetic_moment_mub_per_atom": 0.0000, "sg": "C2/c (15)", "energy_ev_per_cell": -44.20, "volume_a3_per_atom": 14.8}

---

Record 2
{"formula": "Ti3Ni5", "functional": "GGA-PBE", "state": "relaxed", "lattice_angstrom": [[5.068, -0.200, 0.000], [-1.315, 4.898, 0.000], [0.000, 0.000, 8.340]], "species": ["Ti", "Ti", "Ni", "Ti", "Ni", "Ti", "Ti", "Ni", "Ti", "Ni", "Ni", "Ni", "Ni", "Ni", "Ni", "Ni"], "frac_coords": [[0.786, 0.214, 0.000], [0.214, 0.786, 0.000], [0.011, 0.011, 0.250], [0.418, 0.418, 0.250], [0.704, 0.704, 0.037], [0.214, 0.786, 0.500], [0.582, 0.582, 0.750], [0.488, 0.042, 0.750], [0.786, 0.214, 0.500], [0.296, 0.296, 0.963], [0.042, 0.488, 0.750], [0.704, 0.704, 0.463], [0.512, 0.958, 0.250], [0.296, 0.296, 0.537], [0.989, 0.989, 0.750], [0.958, 0.512, 0.250]], "delta_e_f_mev_per_atom": -392, "magnetic_moment_mub_per_atom": 0.0000, "sg": "Cmcm (63)", "energy_ev_per_cell": -111.46, "volume_a3_per_atom": 12.8}

---

Record 3
{"formula": "Ti2Ni3", "functional": "GGA-PBE", "state": "relaxed", "lattice_angstrom": [[3.332, 0.000, 1.425], [1.614, 4.129, 0.834], [-0.025, -0.024, 4.666]], "species": ["Ti", "Ni", "Ni", "Ni", "Ti"], "frac_coords": [[0.425, 0.858, 0.293], [0.803, 0.293, 0.100], [0.000, 0.500, 0.500], [0.197, 0.707, 0.900], [0.575, 0.142, 0.707]], "delta_e_f_mev_per_atom": -366, "magnetic_moment_mub_per_atom": 0.0000, "sg": "C2/m (12)", "energy_ev_per_cell": -34.97, "volume_a3_per_atom": 12.9}

---

Record 4
{"formula": "Ti5Ni2", "functional": "GGA-PBE", "state": "relaxed", "lattice_angstrom": [[-4.394, 3.708, 0.867], [-2.792, -2.346, -4.116], [-0.762, -6.332, 3.725]], "species": ["Ti", "Ti", "Ti", "Ni", "Ni", "Ti", "Ni", "Ti", "Ti", "Ti", "Ti", "Ti", "Ti", "Ni"], "frac_coords": [[0.784, 0.520, 0.823], [0.331, 0.727, 0.538], [0.490, 0.750, 0.000], [0.381, 0.987, 0.234], [0.147, 0.513, 0.766], [0.961, 0.980, 0.177], [0.853, 0.487, 0.234], [0.793, 0.773, 0.462], [0.039, 0.020, 0.823], [0.216, 0.480, 0.177], [0.669, 0.273, 0.462], [0.207, 0.227, 0.538], [0.510, 0.250, 0.000], [0.619, 0.013, 0.766]], "delta_e_f_mev_per_atom": -180, "magnetic_moment_mub_per_atom": 0.0000, "sg": "C2/c (15)", "energy_ev_per_cell": -104.59, "volume_a3_per_atom": 15.5}

---

Record 5
{"formula": "Ti3Ni", "functional": "GGA-PBE", "state": "relaxed", "lattice_angstrom": [[3.738, 0.000, 0.000], [0.000, 3.738, 0.000], [-1.869, -1.869, 4.368]], "species": ["Ti", "Ti", "Ni", "Ti"], "frac_coords": [[0.750, 0.250, 0.500], [0.500, 0.500, 0.000], [0.000, 0.000, 0.000], [0.250, 0.750, 0.500]], "delta_e_f_mev_per_atom": -80, "magnetic_moment_mub_per_atom": 0.0017, "sg": "I4/mmm (139)", "energy_ev_per_cell": -29.79, "volume_a3_per_atom": 15.3}

---

Record 6
{"formula": "Ti3Ni5", "functional": "GGA-PBE", "state": "relaxed", "lattice_angstrom": [[-3.893, 0.887, -0.915], [-0.383, -4.348, -2.583], [-1.398, -1.280, 4.705]], "species": ["Ni", "Ni", "Ti", "Ni", "Ni", "Ti", "Ni", "Ti"], "frac_coords": [[0.000, 0.000, 0.000], [0.000, 0.500, 0.000], [0.500, 0.788, 0.212], [0.000, 0.000, 0.500], [0.500, 0.290, 0.290], [0.500, 0.212, 0.788], [0.500, 0.710, 0.710], [0.000, 0.500, 0.500]], "delta_e_f_mev_per_atom": -368, "magnetic_moment_mub_per_atom": 0.0000, "sg": "Cmmm (65)", "energy_ev_per_cell": -55.54, "volume_a3_per_atom": 12.8}